(1)
The following is a GGA-PBE calculation of an optimized crystal structure of Cs2KC, from Alexandria via LeMat-Bulk.

Lattice parameters (Å, degrees): 9.974 9.974 9.974 60.00 60.00 60.00
Element x y z (fractional)
C (0.250, 0.250, 0.250)
C (0.000, 0.000, 0.000)
K (0.750, 0.750, 0.750)
K (0.500, 0.500, 0.500)
Cs (0.125, 0.125, 0.125)
Cs (0.125, 0.625, 0.125)
Cs (0.625, 0.125, 0.125)
Cs (0.125, 0.125, 0.625)

Summary:
The density of states at the Fermi level comes out at 8.22 states/eV/cell. The value obtained for the uncorrected energy is -14.49 eV/cell. For the formation energy, the calculation gives 1.196 eV/atom. The space-group type is Fd-3m, No. 227.

***

(2)
The following is a GGA-PBE calculation of an optimized crystal structure of TeAs3O, from Alexandria via LeMat-Bulk.

Lattice parameters (Å, degrees): 5.316 5.316 5.316 90.00 90.00 90.00
Element x y z (fractional)
As (0.000, 0.000, 0.500)
As (0.000, 0.500, 0.000)
As (0.500, 0.000, 0.000)
O (0.500, 0.500, 0.500)
Te (0.000, 0.000, 0.000)

Summary:
The density of states at the Fermi level comes out at 16.26 states/eV/cell. The value obtained for the uncorrected energy is -13.94 eV/cell. The value obtained for the energy relative to the elements, uncorrected is 1.62 eV per atom. The space-group type is Pm-3m, No. 221.

***

(3)
The following is a GGA-PBE calculation of an optimized crystal structure of Pm5SbPb2, from Alexandria via LeMat-Bulk.

Lattice parameters (Å, degrees): 8.416 8.416 9.217 117.16 117.16 90.00
Element x y z (fractional)
Pm (0.494, 0.311, 0.305)
Pm (0.000, 0.000, 0.000)
Pm (0.506, 0.689, 0.695)
Pm (0.500, 0.500, 0.000)
Pm (0.811, 0.994, 0.305)
Pm (0.994, 0.494, 0.305)
Pm (0.189, 0.006, 0.695)
Pm (0.311, 0.811, 0.305)
Pm (0.006, 0.506, 0.695)
Pm (0.689, 0.189, 0.695)
Pb (0.142, 0.358, 0.000)
Pb (0.358, 0.858, 0.000)
Pb (0.642, 0.142, 0.000)
Pb (0.858, 0.642, 0.000)
Sb (0.750, 0.750, 0.500)
Sb (0.250, 0.250, 0.500)

Summary:
The density of states at the Fermi level comes out at 16.33 states/eV/cell. The value obtained for the uncorrected energy is -80.25 eV/cell. The value obtained for the energy relative to the elements, uncorrected is -0.60 eV per atom. The space-group type is I4/mcm, No. 140.

***

(4)
The following is a GGA-PBE calculation of an optimized crystal structure of PmDyAs2, from Alexandria via LeMat-Bulk.

Lattice parameters (Å, degrees): 5.910 5.910 7.239 114.09 114.09 90.00
Element x y z (fractional)
Dy (0.500, 0.500, 0.000)
Dy (0.250, 0.750, 0.500)
As (0.253, 0.253, 0.506)
As (0.497, 0.997, 0.994)
As (0.003, 0.503, 0.006)
As (0.747, 0.747, 0.494)
Pm (0.000, 0.000, 0.000)
Pm (0.750, 0.250, 0.500)

Summary:
The density of states at the Fermi level comes out at 0.88 states/eV/cell. The value obtained for the uncorrected energy is -49.51 eV/cell. For the formation energy, the calculation gives -1.526 eV/atom. The space-group type is I4_1/amd, No. 141.

***

(5)
The following is a GGA-PBE calculation of an optimized crystal structure of Ce2InGe2, from Alexandria via LeMat-Bulk.

Lattice parameters (Å, degrees): 7.475 7.475 4.360 90.00 90.00 90.00
Element x y z (fractional)
Ge (0.379, 0.121, 0.000)
Ge (0.621, 0.879, 0.000)
Ge (0.879, 0.379, 0.000)
Ge (0.121, 0.621, 0.000)
In (0.000, 0.000, 0.000)
In (0.500, 0.500, 0.000)
Ce (0.821, 0.679, 0.500)
Ce (0.179, 0.321, 0.500)
Ce (0.321, 0.821, 0.500)
Ce (0.679, 0.179, 0.500)

Summary:
The density of states at the Fermi level comes out at 22.18 states/eV/cell. The value obtained for the uncorrected energy is -54.13 eV/cell. For the formation energy, the calculation gives -0.645 eV/atom. The space-group type is P4/mbm, No. 127.

***

(6)
The following is a GGA-PBE calculation of an optimized crystal structure of Pm2CdOs, from Alexandria via LeMat-Bulk.

Lattice parameters (Å, degrees): 3.512 3.512 8.105 90.00 90.00 90.00
Element x y z (fractional)
Pm (0.000, 0.000, 0.212)
Pm (0.000, 0.000, 0.788)
Os (0.500, 0.500, 0.000)
Cd (0.500, 0.500, 0.500)

Summary:
The density of states at the Fermi level comes out at 3.35 states/eV/cell. The value obtained for the uncorrected energy is -22.32 eV/cell. For the formation energy, the calculation gives -0.169 eV/atom. The space-group type is P4/mmm, No. 123.

***

(7)
The following is a GGA-PBE calculation of an optimized crystal structure of Dy2Cd3Ag2, from Alexandria via LeMat-Bulk.

Lattice parameters (Å, degrees): 4.664 5.530 7.346 108.11 90.00 114.94
Element x y z (fractional)
Ag (0.159, 0.318, 0.199)
Ag (0.841, 0.682, 0.801)
Cd (0.620, 0.241, 0.433)
Cd (0.500, 0.000, 0.000)
Cd (0.380, 0.759, 0.567)
Dy (0.863, 0.727, 0.227)
Dy (0.137, 0.273, 0.773)

Summary:
The density of states at the Fermi level comes out at 4.54 states/eV/cell. The value obtained for the uncorrected energy is -19.55 eV/cell. For the formation energy, the calculation gives -0.271 eV/atom. The space-group type is C2/m, No. 12.

***

(8)
The following is a GGA-PBE calculation of an optimized crystal structure of CeLuTl, from Alexandria via LeMat-Bulk.

Lattice parameters (Å, degrees): 3.533 3.533 7.355 103.90 103.90 90.00
Element x y z (fractional)
Lu (0.606, 0.606, 0.211)
Ce (0.289, 0.289, 0.577)
Tl (0.956, 0.956, 0.911)

Summary:
The density of states at the Fermi level comes out at 6.84 states/eV/cell. The value obtained for the uncorrected energy is -13.18 eV/cell. For the formation energy, the calculation gives -0.120 eV/atom. The space-group type is I4mm, No. 107.

***

(9)
The following is a GGA-PBE calculation of an optimized crystal structure of SiOs2Pb, from Alexandria via LeMat-Bulk.

Lattice parameters (Å, degrees): 5.353 5.353 5.353 148.01 123.43 66.48
Element x y z (fractional)
Pb (0.750, 0.250, 0.500)
Os (0.036, 0.036, 0.000)
Os (0.464, 0.464, 0.000)
Si (0.250, 0.750, 0.500)

Summary:
The density of states at the Fermi level comes out at 2.61 states/eV/cell. The value obtained for the uncorrected energy is -29.11 eV/cell. The value obtained for the energy relative to the elements, uncorrected is 0.62 eV per atom. The space-group type is Immm, No. 71.

***

(10)
The following is a GGA-PBE calculation of an optimized crystal structure of Sc2TlIn4, from Alexandria via LeMat-Bulk.

Lattice parameters (Å, degrees): 6.269 6.269 6.356 119.63 119.63 90.10
Element x y z (fractional)
Tl (0.786, 0.786, 0.571)
In (0.286, 0.786, 0.071)
In (0.286, 0.286, 0.071)
In (0.786, 0.286, 0.071)
In (0.786, 0.786, 0.072)
Sc (0.286, 0.786, 0.571)
Sc (0.786, 0.286, 0.571)

Summary:
The density of states at the Fermi level comes out at 3.88 states/eV/cell. The value obtained for the uncorrected energy is -27.02 eV/cell. For the formation energy, the calculation gives -0.149 eV/atom. The space-group type is C2/m, No. 12.

***

(11)
The following is a GGA-PBE calculation of an optimized crystal structure of Hf2Ti4In2H, from Alexandria via LeMat-Bulk.

Lattice parameters (Å, degrees): 6.010 6.010 6.010 91.02 119.41 119.41
Element x y z (fractional)
In (0.500, 0.250, 0.750)
In (0.500, 0.750, 0.250)
Hf (0.000, 0.740, 0.740)
Hf (0.000, 0.260, 0.260)
Ti (0.000, 0.756, 0.244)
Ti (0.489, 0.244, 0.244)
Ti (0.511, 0.756, 0.756)
Ti (0.000, 0.244, 0.756)
H (0.000, 0.000, 0.000)

Summary:
The density of states at the Fermi level comes out at 6.38 states/eV/cell. The value obtained for the uncorrected energy is -62.09 eV/cell. The space-group type is I4/mmm, No. 139.

***

(12)
The following is a GGA-PBE calculation of an optimized crystal structure of TmZrIrAu, from Alexandria via LeMat-Bulk.

Lattice parameters (Å, degrees): 4.832 4.832 4.832 60.00 60.00 60.00
Element x y z (fractional)
Tm (0.750, 0.750, 0.750)
Au (0.000, 0.000, 0.000)
Zr (0.250, 0.250, 0.250)
Ir (0.500, 0.500, 0.500)

Summary:
The density of states at the Fermi level comes out at 3.30 states/eV/cell. The value obtained for the uncorrected energy is -28.04 eV/cell. For the formation energy, the calculation gives -0.721 eV/atom. The space-group type is F-43m, No. 216.

***

(13)
The following is a GGA-PBE calculation of an optimized crystal structure of In5GaAg4, from Alexandria via LeMat-Bulk.

Lattice parameters (Å, degrees): 3.285 8.889 8.158 74.21 101.62 90.00
Element x y z (fractional)
In (0.815, 0.111, 0.631)
In (0.500, 0.500, 0.000)
In (0.816, 0.570, 0.632)
In (0.185, 0.889, 0.369)
In (0.184, 0.430, 0.368)
Ag (0.042, 0.741, 0.084)
Ag (0.958, 0.259, 0.916)
Ag (0.622, 0.184, 0.245)
Ag (0.378, 0.816, 0.755)
Ga (0.500, 0.000, 0.000)

Summary:
The density of states at the Fermi level comes out at 4.15 states/eV/cell. The value obtained for the uncorrected energy is -27.78 eV/cell. For the formation energy, the calculation gives 0.034 eV/atom. The space-group type is C2/m, No. 12.

***

(14)
The following is a GGA-PBE calculation of an optimized crystal structure of Li2Ca, from Alexandria via LeMat-Bulk.

Lattice parameters (Å, degrees): 6.288 6.288 7.832 71.48 71.48 34.75
Element x y z (fractional)
Li (0.000, 0.000, 0.586)
Li (0.320, 0.320, 0.848)
Li (0.625, 0.625, 0.763)
Li (0.944, 0.944, 0.025)
Ca (0.313, 0.313, 0.424)
Ca (0.632, 0.632, 0.187)

Summary:
The density of states at the Fermi level comes out at 4.95 states/eV/cell. The value obtained for the uncorrected energy is -11.44 eV/cell. For the formation energy, the calculation gives 0.037 eV/atom. The space-group type is C2/m, No. 12.

***

(15)
The following is a GGA-PBE calculation of an optimized crystal structure of TmTlPdF6, from Alexandria via LeMat-Bulk.

Lattice parameters (Å, degrees): 6.386 5.821 5.926 87.90 86.03 57.09
Element x y z (fractional)
Pd (0.337, 0.326, 0.500)
F (0.335, 0.015, 0.658)
F (0.690, 0.392, 0.760)
F (0.650, 0.017, 0.344)
F (0.915, 0.396, 0.238)
F (0.383, 0.615, 0.352)
F (0.002, 0.614, 0.647)
Tl (0.008, 0.983, 0.000)
Tm (0.679, 0.641, 0.500)

Summary:
The value obtained for the uncorrected energy is -46.54 eV/cell. The value obtained for the energy relative to the elements, uncorrected is -2.59 eV per atom. The space-group type is P1, No. 1.

***

(16)
The following is a GGA-PBE calculation of an optimized crystal structure of Rb4TbSm3Se8, from Alexandria via LeMat-Bulk.

Lattice parameters (Å, degrees): 8.620 9.435 8.621 117.21 120.00 90.00
Element x y z (fractional)
Se (0.736, 0.698, 0.967)
Se (0.733, 0.699, 0.466)
Se (0.769, 0.302, 0.033)
Se (0.264, 0.302, 0.033)
Se (0.267, 0.301, 0.534)
Se (0.769, 0.302, 0.538)
Se (0.231, 0.698, 0.462)
Se (0.231, 0.698, 0.967)
Rb (0.500, 0.000, 0.500)
Rb (0.000, 0.000, 0.000)
Rb (0.500, 0.000, 0.000)
Rb (0.000, 0.000, 0.500)
Sm (0.500, 0.500, 0.500)
Sm (0.500, 0.500, 0.000)
Sm (0.000, 0.500, 0.500)
Tb (0.000, 0.500, 0.000)

Summary:
The density of states at the Fermi level comes out at 0.00 states/eV/cell. The value obtained for the uncorrected energy is -78.36 eV/cell. The value obtained for the energy relative to the elements, uncorrected is -1.74 eV per atom. The space-group type is R-3m, No. 166.

***

(17)
The following is a GGA-PBE calculation of an optimized crystal structure of Na3BiF, from Alexandria via LeMat-Bulk.

Lattice parameters (Å, degrees): 5.975 5.975 5.975 90.00 90.00 90.00
Element x y z (fractional)
Bi (0.000, 0.000, 0.000)
F (0.500, 0.500, 0.500)
Na (0.500, 0.000, 0.000)
Na (0.000, 0.000, 0.500)
Na (0.000, 0.500, 0.000)

Summary:
The density of states at the Fermi level comes out at 4.60 states/eV/cell. The value obtained for the uncorrected energy is -12.12 eV/cell. The value obtained for the energy relative to the elements, uncorrected is -0.48 eV per atom. The space-group type is Pm-3m, No. 221.

***

(18)
The following is a GGA-PBE calculation of an optimized crystal structure of PrNdInGa, from Alexandria via LeMat-Bulk.

Lattice parameters (Å, degrees): 5.384 5.384 5.384 60.00 60.00 60.00
Element x y z (fractional)
In (0.750, 0.750, 0.750)
Nd (0.500, 0.500, 0.500)
Pr (0.000, 0.000, 0.000)
Ga (0.250, 0.250, 0.250)

Summary:
The density of states at the Fermi level comes out at 1.56 states/eV/cell. The value obtained for the uncorrected energy is -17.30 eV/cell. For the formation energy, the calculation gives -0.498 eV/atom. The space-group type is F-43m, No. 216.

***

(19)
The following is a GGA-PBE calculation of an optimized crystal structure of Sc2GaNi2Rh5, from Alexandria via LeMat-Bulk.

Lattice parameters (Å, degrees): 3.794 8.927 8.927 90.00 90.00 90.00
Element x y z (fractional)
Rh (0.500, 0.500, 0.000)
Rh (0.500, 0.927, 0.202)
Rh (0.500, 0.073, 0.798)
Rh (0.500, 0.202, 0.073)
Rh (0.500, 0.573, 0.702)
Rh (0.500, 0.000, 0.500)
Rh (0.500, 0.298, 0.573)
Rh (0.500, 0.427, 0.298)
Rh (0.500, 0.798, 0.927)
Rh (0.500, 0.702, 0.427)
Sc (0.000, 0.670, 0.170)
Sc (0.000, 0.330, 0.830)
Sc (0.000, 0.170, 0.330)
Sc (0.000, 0.830, 0.670)
Ni (0.000, 0.372, 0.128)
Ni (0.000, 0.128, 0.628)
Ni (0.000, 0.628, 0.872)
Ni (0.000, 0.872, 0.372)
Ga (0.000, 0.500, 0.500)
Ga (0.000, 0.000, 0.000)

Summary:
The density of states at the Fermi level comes out at 18.87 states/eV/cell. The value obtained for the uncorrected energy is -138.47 eV/cell. For the formation energy, the calculation gives -0.523 eV/atom. The space-group type is P4/mbm, No. 127.

***

(20)
The following is a GGA-PBE calculation of an optimized crystal structure of Zn2CuAu, from Alexandria via LeMat-Bulk.

Lattice parameters (Å, degrees): 3.092 3.092 6.141 90.00 90.00 89.98
Element x y z (fractional)
Au (0.500, 0.500, 0.250)
Zn (0.000, 0.000, 0.976)
Zn (0.000, 0.000, 0.524)
Cu (0.500, 0.500, 0.750)

Summary:
The density of states at the Fermi level comes out at 0.52 states/eV/cell. The value obtained for the uncorrected energy is -10.51 eV/cell. For the formation energy, the calculation gives -0.147 eV/atom. The space-group type is P4/mmm, No. 123.